[1]
MnRe2Hg | PBE | relaxed

* energy of formation from the pure elements: 2.1 eV per formula unit
* V: 64 Å³ per cell
* total magnetic moment: 2.21 μB per formula unit

Lattice parameters (Å, degrees): 5.6351 5.6351 5.6351 150.81 132.84 56.43
Closest atoms and distances in Å follow each position.
Fractional coordinates of all 4 atoms:
Hg  0.7500  0.2500  0.5000  4 Mn 2.66, 2 Hg 2.84
Re  0.0354  0.0354  0.0000  2 Mn 2.56, 6 Re 2.76-2.84
Re  0.4646  0.4646  0.0000  2 Mn 2.56, 6 Re 2.76-2.84
Mn  0.2500  0.7500  0.5000  4 Re 2.56, 4 Hg 2.66, 2 Mn 2.84

[2]
Sc2TlHg2 | PBE | relaxed

* polymorph energy (0 for the lowest one): 51.0 meV per atom
* energy of formation from the pure elements: -1.1 eV per formula unit
* V: 240 Å³ per cell
* total magnetic moment: 0.00 μB per formula unit

Lattice parameters (Å, degrees): 8.1276 8.1276 3.6384 90.00 90.00 90.00
Closest atoms and distances in Å follow each position.
Fractional coordinates of all 10 atoms:
Sc  0.8445  0.6555  0.0000  6 Hg 2.95-3.03, 2 Tl 3.07
Sc  0.6555  0.1555  0.0000  6 Hg 2.95-3.03, 2 Tl 3.07
Sc  0.1555  0.3445  0.0000  6 Hg 2.95-3.03, 2 Tl 3.07
Sc  0.3445  0.8445  0.0000  6 Hg 2.95-3.03, 2 Tl 3.07
Hg  0.6424  0.8576  0.5000  6 Sc 2.95-3.03, 1 Hg 3.27
Hg  0.3576  0.1424  0.5000  6 Sc 2.95-3.03, 1 Hg 3.27
Hg  0.8576  0.3576  0.5000  6 Sc 2.95-3.03, 1 Hg 3.27
Hg  0.1424  0.6424  0.5000  6 Sc 2.95-3.03, 1 Hg 3.27
Tl  0.5000  0.5000  0.0000  4 Sc 3.07
Tl  0.0000  0.0000  0.0000  4 Sc 3.07

[3]
AlTc2Hg | PBE | relaxed

* polymorph energy (0 for the lowest one): 240.5 meV per atom
* energy of formation from the pure elements: 1.0 eV per formula unit
* V: 63 Å³ per cell
* total magnetic moment: 0.00 μB per formula unit

Lattice parameters (Å, degrees): 4.7633 4.7633 4.7633 129.15 129.15 74.76
Closest atoms and distances in Å follow each position.
Fractional coordinates of all 4 atoms:
Hg  0.7500  0.2500  0.5000  8 Tc 2.79-2.89, 4 Al 2.79
Al  0.5000  0.5000  0.0000  4 Hg 2.79, 8 Tc 2.79-2.89
Tc  0.0000  0.0000  0.0000  4 Hg 2.79, 4 Tc 2.79, 4 Al 2.89
Tc  0.2500  0.7500  0.5000  4 Al 2.79, 4 Tc 2.79, 4 Hg 2.89

[4]
Rb3SmTm2O6 | PBE | relaxed

* uncorrected formation energy: -259.8 kJ/mol of atoms
* V: 209 Å³ per cell
* total magnetic moment: 0.00 μB per formula unit

Lattice parameters (Å, degrees): 6.0721 6.0721 6.8646 98.47 98.47 120.00
Closest atoms and distances in Å follow each position.
Fractional coordinates of all 12 atoms:
O  0.4023  0.0583  0.1748  2 Tm 2.30, 1 Sm 2.38
O  0.7142  0.7142  0.1747  2 Tm 2.30, 1 Sm 2.38
O  0.2858  0.2858  0.8253  2 Tm 2.30, 1 Sm 2.38
O  0.0583  0.4023  0.1748  2 Tm 2.30, 1 Sm 2.38
O  0.5977  0.9417  0.8252  2 Tm 2.30, 1 Sm 2.38
O  0.9417  0.5977  0.8252  2 Tm 2.30, 1 Sm 2.38
Rb  0.8327  0.1673  0.5000  6 O 2.89-2.97
Rb  0.5000  0.5000  0.5000  6 O 2.90-2.96
Rb  0.1673  0.8327  0.5000  6 O 2.89-2.97
Sm  0.0000  0.0000  0.0000  6 O 2.38
Tm  0.3333  0.6667  0.0000  6 O 2.30
Tm  0.6667  0.3333  0.0000  6 O 2.30

[5]
LuIn2Rh | PBE | relaxed

* energy of formation from the pure elements: -1.6 eV per formula unit
* V: 83 Å³ per cell
* total magnetic moment: 0.00 μB per formula unit

Lattice parameters (Å, degrees): 4.7133 4.2017 4.2017 90.00 90.00 90.00
Closest atoms and distances in Å follow each position.
Fractional coordinates of all 4 atoms:
In  0.0000  0.5000  0.0000  4 In 2.97, 4 Rh 3.16, 4 Lu 3.16
In  0.0000  0.0000  0.5000  4 In 2.97, 4 Rh 3.16, 4 Lu 3.16
Lu  0.5000  0.5000  0.5000  4 Rh 2.97, 8 In 3.16
Rh  0.5000  0.0000  0.0000  4 Lu 2.97, 8 In 3.16

[6]
Ho2InGe | PBE | relaxed

* energy of formation from the pure elements: -2.1 eV per formula unit
* V: 97 Å³ per cell
* total magnetic moment: 0.01 μB per formula unit

Lattice parameters (Å, degrees): 3.3556 3.3556 8.5940 90.00 90.00 90.00
Closest atoms and distances in Å follow each position.
Fractional coordinates of all 4 atoms:
Ge  0.5000  0.5000  0.0000  8 Ho 3.06, 4 Ge 3.36
Ho  0.0000  0.0000  0.2251  4 Ge 3.06, 4 In 3.35, 4 Ho 3.36
Ho  0.0000  0.0000  0.7749  4 Ge 3.06, 4 In 3.35, 4 Ho 3.36
In  0.5000  0.5000  0.5000  8 Ho 3.35, 4 In 3.36

[7]
TbYHoZr | PBE | relaxed

* energy of formation from the pure elements: 0.9 eV per formula unit
* V: 118 Å³ per cell
* total magnetic moment: 2.79 μB per formula unit

Lattice parameters (Å, degrees): 5.5086 5.5086 5.5086 60.00 60.00 60.00
Closest atoms and distances in Å follow each position.
Fractional coordinates of all 4 atoms:
Y  0.7500  0.7500  0.7500  4 Ho 3.37, 4 Tb 3.37
Ho  0.0000  0.0000  0.0000  4 Y 3.37, 4 Zr 3.37
Zr  0.2500  0.2500  0.2500  4 Tb 3.37, 4 Ho 3.37
Tb  0.5000  0.5000  0.5000  4 Zr 3.37, 4 Y 3.37

[8]
La3Pr12Hg5 | PBE | relaxed

* energy of formation from the pure elements: 6.8 eV per formula unit
* V: 3304 Å³ per cell
* total magnetic moment: 0.00 μB per formula unit

Lattice parameters (Å, degrees): 16.2506 16.2506 16.2506 109.47 109.47 109.47
Closest atoms and distances in Å follow each position.
Fractional coordinates of all 80 atoms:
Pr  0.9049  0.0739  0.6230  2 Hg 3.05-3.09, 1 La 3.39
Pr  0.8770  0.2818  0.4508  2 Hg 3.05-3.09, 1 La 3.39
Pr  0.6690  0.2182  0.5951  2 Hg 3.05-3.09, 1 La 3.39
Pr  0.5492  0.3310  0.9261  2 Hg 3.05-3.09, 1 La 3.39
Pr  0.6230  0.5739  0.9049  2 Hg 3.05-3.09, 1 La 3.39
Pr  0.8310  0.9049  0.2818  2 Hg 3.05-3.09, 1 La 3.39
Pr  0.4049  0.2818  0.3310  2 Hg 3.05-3.09, 1 La 3.39
Pr  0.1230  0.7182  0.5492  2 Hg 3.05-3.09, 1 La 3.39
Pr  0.5951  0.8770  0.4261  2 Hg 3.05-3.09, 1 La 3.39
Pr  0.9261  0.8310  0.5492  2 Hg 3.05-3.09, 1 La 3.39
Pr  0.3770  0.9508  0.7818  2 Hg 3.05-3.09, 1 La 3.39
Pr  0.4049  0.1230  0.5739  2 Hg 3.05-3.09, 1 La 3.39
Pr  0.5492  0.2182  0.1230  2 Hg 3.05-3.09, 1 La 3.39
Pr  0.4261  0.3770  0.5951  2 Hg 3.05-3.09, 1 La 3.39
Pr  0.7182  0.1230  0.0492  2 Hg 3.05-3.09, 1 La 3.39
Pr  0.0492  0.4261  0.8310  2 Hg 3.05-3.09, 1 La 3.39
Pr  0.6230  0.0492  0.2182  2 Hg 3.05-3.09, 1 La 3.39
Pr  0.1690  0.0951  0.7182  2 Hg 3.05-3.09, 1 La 3.39
Pr  0.7182  0.5951  0.1690  2 Hg 3.05-3.09, 1 La 3.39
Pr  0.0951  0.1690  0.2182  2 Hg 3.05-3.09, 1 La 3.39
Pr  0.7818  0.3310  0.9049  2 Hg 3.05-3.09, 1 La 3.39
Pr  0.4261  0.0492  0.3310  2 Hg 3.05-3.09, 1 La 3.39
Pr  0.2182  0.6690  0.0951  2 Hg 3.05-3.09, 1 La 3.39
Pr  0.9261  0.0951  0.8770  2 Hg 3.05-3.09, 1 La 3.39
Pr  0.0739  0.9049  0.1230  2 Hg 3.05-3.09, 1 La 3.39
Pr  0.9049  0.8310  0.7818  2 Hg 3.05-3.09, 1 La 3.39
Pr  0.8310  0.9261  0.0492  2 Hg 3.05-3.09, 1 La 3.39
Pr  0.9508  0.5739  0.1690  2 Hg 3.05-3.09, 1 La 3.39
Pr  0.0492  0.6230  0.7182  2 Hg 3.05-3.09, 1 La 3.39
Pr  0.2182  0.5492  0.6230  2 Hg 3.05-3.09, 1 La 3.39
Pr  0.4508  0.7818  0.8770  2 Hg 3.05-3.09, 1 La 3.39
Pr  0.0739  0.1690  0.4508  2 Hg 3.05-3.09, 1 La 3.39
Pr  0.3310  0.7818  0.4049  2 Hg 3.05-3.09, 1 La 3.39
Pr  0.2818  0.4049  0.8310  2 Hg 3.05-3.09, 1 La 3.39
Pr  0.7818  0.4508  0.3770  2 Hg 3.05-3.09, 1 La 3.39
Pr  0.1690  0.0739  0.9508  2 Hg 3.05-3.09, 1 La 3.39
Pr  0.3310  0.5492  0.4261  2 Hg 3.05-3.09, 1 La 3.39
Pr  0.8770  0.5951  0.9261  2 Hg 3.05-3.09, 1 La 3.39
Pr  0.0951  0.9261  0.3770  2 Hg 3.05-3.09, 1 La 3.39
Pr  0.9508  0.3770  0.2818  2 Hg 3.05-3.09, 1 La 3.39
Pr  0.5739  0.9508  0.6690  2 Hg 3.05-3.09, 1 La 3.39
Pr  0.4508  0.6690  0.0739  2 Hg 3.05-3.09, 1 La 3.39
Pr  0.6690  0.4508  0.5739  2 Hg 3.05-3.09, 1 La 3.39
Pr  0.2818  0.8770  0.9508  2 Hg 3.05-3.09, 1 La 3.39
Pr  0.5951  0.7182  0.6690  2 Hg 3.05-3.09, 1 La 3.39
Pr  0.3770  0.4261  0.0951  2 Hg 3.05-3.09, 1 La 3.39
Pr  0.1230  0.4049  0.0739  2 Hg 3.05-3.09, 1 La 3.39
Pr  0.5739  0.6230  0.4049  2 Hg 3.05-3.09, 1 La 3.39
La  0.6250  0.3750  0.7500  8 Pr 3.39-3.65
La  0.8750  0.7500  0.1250  8 Pr 3.39-3.65
La  0.8750  0.1250  0.2500  8 Pr 3.39-3.65
La  0.3750  0.6250  0.2500  8 Pr 3.39-3.65
La  0.2500  0.6250  0.8750  8 Pr 3.39-3.65
La  0.6250  0.2500  0.3750  8 Pr 3.39-3.65
La  0.7500  0.8750  0.6250  8 Pr 3.39-3.65
La  0.1250  0.2500  0.8750  8 Pr 3.39-3.65
La  0.3750  0.7500  0.6250  8 Pr 3.39-3.65
La  0.1250  0.8750  0.7500  8 Pr 3.39-3.65
La  0.7500  0.3750  0.1250  8 Pr 3.39-3.65
La  0.2500  0.1250  0.3750  8 Pr 3.39-3.65
Hg  0.0000  0.0000  0.5000  6 Pr 3.09
Hg  0.3750  0.1250  0.7500  4 Pr 3.05
Hg  0.2500  0.3750  0.6250  4 Pr 3.05
Hg  0.5000  0.0000  0.0000  6 Pr 3.09
Hg  0.1250  0.3750  0.2500  4 Pr 3.05
Hg  0.7500  0.1250  0.8750  4 Pr 3.05
Hg  0.3750  0.2500  0.1250  4 Pr 3.05
Hg  0.0000  0.5000  0.0000  6 Pr 3.09
Hg  0.6250  0.7500  0.8750  4 Pr 3.05
Hg  0.0000  0.0000  0.0000  6 Pr 3.09
Hg  0.5000  0.0000  0.5000  6 Pr 3.09
Hg  0.7500  0.6250  0.3750  4 Pr 3.05
Hg  0.6250  0.8750  0.2500  4 Pr 3.05
Hg  0.0000  0.5000  0.5000  6 Pr 3.09
Hg  0.8750  0.2500  0.6250  4 Pr 3.05
Hg  0.2500  0.8750  0.1250  4 Pr 3.05
Hg  0.1250  0.7500  0.3750  4 Pr 3.05
Hg  0.5000  0.5000  0.5000  6 Pr 3.09
Hg  0.5000  0.5000  0.0000  6 Pr 3.09
Hg  0.8750  0.6250  0.7500  4 Pr 3.05

[9]
PaHgS3 | PBE | relaxed

* uncorrected formation energy: -78.1 kJ/mol of atoms
* polymorph energy (0 for the lowest one): 137.6 meV per atom
* V: 143 Å³ per cell
* total magnetic moment: 0.00 μB per formula unit

Lattice parameters (Å, degrees): 5.2332 5.2332 5.2332 90.00 90.00 90.00
Closest atoms and distances in Å follow each position.
Fractional coordinates of all 5 atoms:
Pa  0.0000  0.0000  0.0000  6 S 2.62
S  0.0000  0.5000  0.0000  2 Pa 2.62
S  0.0000  0.0000  0.5000  2 Pa 2.62
S  0.5000  0.0000  0.0000  2 Pa 2.62
Hg  0.5000  0.5000  0.5000  12 S 3.70

[10]
UNbO4F | PBE | relaxed

* uncorrected formation energy: -280.7 kJ/mol of atoms
* V: 243 Å³ per cell
* total magnetic moment: 2.00 μB per formula unit

Lattice parameters (Å, degrees): 6.1388 6.1388 7.1207 74.84 74.84 73.43
Closest atoms and distances in Å follow each position.
Fractional coordinates of all 14 atoms:
O  0.4524  0.4524  0.7824  1 Nb 1.86
O  0.7409  0.7409  0.4429  1 Nb 1.85
O  0.9064  0.5157  0.8451  1 Nb 1.90
O  0.5157  0.9064  0.8451  1 Nb 1.90
O  0.2591  0.2591  0.5571  1 Nb 1.85
O  0.0936  0.4843  0.1549  1 Nb 1.90
O  0.5476  0.5476  0.2176  1 Nb 1.86
O  0.4843  0.0936  0.1549  1 Nb 1.90
U  0.7844  0.7844  0.1113  4 O 2.20-2.26, 2 F 2.30-2.42
U  0.2156  0.2156  0.8887  4 O 2.20-2.26, 2 F 2.30-2.42
Nb  0.6520  0.6520  0.7150  4 O 1.85-1.90
Nb  0.3480  0.3480  0.2850  4 O 1.85-1.90
F  0.0144  0.0144  0.1660  2 U 2.30-2.42, 1 F 2.47
F  0.9856  0.9856  0.8340  2 U 2.30-2.42, 1 F 2.47

[11]
CsGa2Si2 | PBE | relaxed

* uncorrected formation energy: 13.0 kJ/mol of atoms
* polymorph energy (0 for the lowest one): 75.8 meV per atom
* V: 117 Å³ per cell
* total magnetic moment: 0.00 μB per formula unit

Lattice parameters (Å, degrees): 4.6119 4.6119 6.3971 68.87 68.87 90.00
Closest atoms and distances in Å follow each position.
Fractional coordinates of all 5 atoms:
Cs  0.0000  0.0000  0.0000  8 Ga 3.56, 8 Si 3.59
Ga  0.6290  0.6290  0.7420  4 Si 2.66, 1 Ga 2.84
Ga  0.3710  0.3710  0.2580  4 Si 2.66, 1 Ga 2.84
Si  0.2500  0.7500  0.5000  4 Ga 2.66
Si  0.7500  0.2500  0.5000  4 Ga 2.66

[12]
Cs3OsRh | PBE | relaxed

* polymorph energy (0 for the lowest one): 0.0 meV per atom
* energy of formation from the pure elements: 7.8 eV per formula unit
* V: 211 Å³ per cell
* total magnetic moment: 2.49 μB per formula unit

Lattice parameters (Å, degrees): 5.9498 5.9498 5.9498 90.00 90.00 90.00
Closest atoms and distances in Å follow each position.
Fractional coordinates of all 5 atoms:
Cs  0.0000  0.5000  0.0000  2 Rh 2.97
Cs  0.0000  0.0000  0.5000  2 Rh 2.97
Cs  0.5000  0.0000  0.0000  2 Rh 2.97
Os  0.5000  0.5000  0.5000  12 Cs 4.21
Rh  0.0000  0.0000  0.0000  6 Cs 2.97